[1]
# Fe2Ag2Rh

A geometry-optimized Fe2Ag2Rh structure (PBE-GGA, Alexandria via LeMat-Bulk).

The structure belongs to space group P4/mbm (No. 127); the cell edges are 6.280, 6.280 and 4.019 Å and the angles 90.00°, 90.00° and 90.00°. The inequivalent atoms are Fe at (0.129, 0.371, 0.000), Ag at (0.172, 0.672, 0.500) and Rh at (0.000, 0.000, 0.000).

For the energy above the most stable polymorph in this dataset, the calculation gives 0.0 meV/atom.


[2]
# FeAg2Rh

A geometry-optimized FeAg2Rh structure (PBE-GGA, Alexandria via LeMat-Bulk).

The structure belongs to space group C2/m (No. 12); the cell edges are 9.570, 2.836 and 4.671 Å and the angles 90.00°, 101.10° and 90.00°. The inequivalent atoms are Fe at (0.000, 0.000, 0.000), Ag at (0.249, 0.500, 0.248) and Rh at (0.000, 0.500, 0.500).

For the energy above the most stable polymorph in this dataset, the calculation gives 126.8 meV/atom.


[3]
# Fe2AgRh

A geometry-optimized Fe2AgRh structure (PBE-GGA, Alexandria via LeMat-Bulk).

The structure belongs to space group P4mm (No. 99); the cell edges are 2.932, 2.932 and 6.632 Å and the angles 90.00°, 90.00° and 90.00°. The inequivalent atoms are Fe at (0.000, 0.000, 0.000), Fe at (0.500, 0.500, 0.211), Ag at (0.500, 0.500, 0.730) and Rh at (0.000, 0.000, 0.432).


[4]
# Fe2AgRh

A geometry-optimized Fe2AgRh structure (PBE-GGA, Alexandria via LeMat-Bulk).

The structure belongs to space group I-42d (No. 122); the cell edges are 6.900, 6.900 and 5.316 Å and the angles 90.00°, 90.00° and 90.00°. The inequivalent atoms are Fe at (0.230, 0.250, 0.125), Ag at (0.000, 0.000, 0.500) and Rh at (0.000, 0.000, 0.000).


| no. | calculated formation energy (eV/atom) |
| --- | --- |
| 1 | 0.459 |
| 2 | 0.275 |
| 3 | 0.162 |
| 4 | 0.600 |